DFT (GGA-PBE) results for a relaxed RbNaInCu2 crystal.

Properties
Its calculated total energy is -1.84 eV per atom. As for the formation energy: 805 meV per atom. The calculation puts the density of states at the Fermi level at 0.46 states/eV/atom. For the total moment, the calculation gives 0.0 μB/cell.

abc: 5.288 5.288 5.654
angles: 90.00 90.00 90.00
Fractional coordinates of all 5 atoms:
Rb (0.000, 0.000, 0.000)
Na (0.000, 0.000, 0.500)
In (0.500, 0.500, 0.000)
Cu (0.000, 0.500, 0.500)
Cu (0.500, 0.000, 0.500)